No. 1
DFT (SCAN) results for a crystal of LaAs2Ir relaxed with PBEsol.

```
data_LaAs2Ir
_chemical_formula_sum 'La1 As2 Ir1'
_cell_length_a 3.510
_cell_length_b 3.510
_cell_length_c 6.498
_cell_angle_alpha 90.00
_cell_angle_beta 90.00
_cell_angle_gamma 90.00
_space_group_name_H-M_alt 'P 4 m m'
_space_group_IT_number 99
_space_group_name_Hall 'P 4 -2'
loop_
_atom_site_label
_atom_site_type_symbol
_atom_site_fract_x
_atom_site_fract_y
_atom_site_fract_z
_atom_site_occupancy
La1 La 0.000 0.000 0.000 1
As1 As 0.000 0.000 0.525 1
As2 As 0.500 0.500 0.274 1
Ir1 Ir 0.500 0.500 0.659 1
```

size of the total moment: 0.0 Bohr magnetons per cell
energy of formation from the pure elements: -0.42 eV per atom
total DFT energy (no corrections): -156.246 eV/f.u.

No. 2
DFT (SCAN) results for a crystal of LaAs2Ir relaxed with PBEsol.

```
data_LaAs2Ir
_chemical_formula_sum 'La3 As6 Ir3'
_cell_length_a 4.0656
_cell_length_b 4.0656
_cell_length_c 16.7464
_cell_angle_alpha 90.00
_cell_angle_beta 90.00
_cell_angle_gamma 120.00
_space_group_name_H-M_alt 'R -3 m'
_space_group_IT_number 166
_space_group_name_Hall '-R 3 2"'
loop_
_atom_site_label
_atom_site_type_symbol
_atom_site_fract_x
_atom_site_fract_y
_atom_site_fract_z
_atom_site_occupancy
La1 La 0.0000 0.0000 0.0000 1
As1 As 0.0000 0.0000 0.2265 1
Ir1 Ir 0.0000 0.0000 0.5000 1
```

size of the total moment: 0.0 Bohr magnetons per cell
energy of formation from the pure elements: -1.08 eV per atom
total DFT energy (no corrections): -158.899 eV/f.u.

No. 3
DFT (SCAN) results for a crystal of LaAsIr relaxed with PBEsol.

```
data_LaAsIr
_chemical_formula_sum 'La1 As1 Ir1'
_cell_length_a 4.2601
_cell_length_b 4.2601
_cell_length_c 4.1072
_cell_angle_alpha 90.00
_cell_angle_beta 90.00
_cell_angle_gamma 120.00
_space_group_name_H-M_alt 'P -6 m 2'
_space_group_IT_number 187
_space_group_name_Hall 'P -6 2'
loop_
_atom_site_label
_atom_site_type_symbol
_atom_site_fract_x
_atom_site_fract_y
_atom_site_fract_z
_atom_site_occupancy
La1 La 0.0000 0.0000 0.0000 1
As1 As 0.3333 0.6667 0.5000 1
Ir1 Ir 0.6667 0.3333 0.5000 1
```

size of the total moment: 0.0 Bohr magnetons per cell
energy of formation from the pure elements: -1.17 eV per atom
total DFT energy (no corrections): -137.898 eV/f.u.

No. 4
DFT (SCAN) results for a crystal of LaAs2Ir relaxed with PBEsol.

```
data_LaAs2Ir
_chemical_formula_sum 'La1 As2 Ir1'
_cell_length_a 4.564
_cell_length_b 4.084
_cell_length_c 4.634
_cell_angle_alpha 90.00
_cell_angle_beta 103.81
_cell_angle_gamma 90.00
_space_group_name_H-M_alt 'P 1 2/m 1'
_space_group_IT_number 10
_space_group_name_Hall '-P 2y'
loop_
_atom_site_label
_atom_site_type_symbol
_atom_site_fract_x
_atom_site_fract_y
_atom_site_fract_z
_atom_site_occupancy
La1 La 0.000 0.000 0.000 1
As1 As 0.332 0.500 0.725 1
Ir1 Ir 0.500 0.000 0.500 1
```

size of the total moment: 0.0 Bohr magnetons per cell
energy of formation from the pure elements: -1.04 eV per atom
total DFT energy (no corrections): -158.755 eV/f.u.

No. 5
DFT (SCAN) results for a crystal of Li2AsIr relaxed with PBEsol.

```
data_Li2AsIr
_chemical_formula_sum 'Li6 As3 Ir3'
_cell_length_a 2.7385
_cell_length_b 2.7385
_cell_length_c 25.6518
_cell_angle_alpha 90.00
_cell_angle_beta 90.00
_cell_angle_gamma 120.00
_space_group_name_H-M_alt 'R -3 m'
_space_group_IT_number 166
_space_group_name_Hall '-R 3 2"'
loop_
_atom_site_label
_atom_site_type_symbol
_atom_site_fract_x
_atom_site_fract_y
_atom_site_fract_z
_atom_site_occupancy
Li1 Li 0.0000 0.0000 0.2502 1
As1 As 0.0000 0.0000 0.5000 1
Ir1 Ir 0.0000 0.0000 0.0000 1
```

size of the total moment: 0.4 Bohr magnetons per cell
energy of formation from the pure elements: -0.29 eV per atom
total DFT energy (no corrections): -97.248 eV/f.u.

No. 6
DFT (SCAN) results for a crystal of LiAs2Ir relaxed with PBEsol.

```
data_LiAs2Ir
_chemical_formula_sum 'Li3 As6 Ir3'
_cell_length_a 3.6685
_cell_length_b 3.6685
_cell_length_c 18.3760
_cell_angle_alpha 90.00
_cell_angle_beta 90.00
_cell_angle_gamma 120.00
_space_group_name_H-M_alt 'R -3 m'
_space_group_IT_number 166
_space_group_name_Hall '-R 3 2"'
loop_
_atom_site_label
_atom_site_type_symbol
_atom_site_fract_x
_atom_site_fract_y
_atom_site_fract_z
_atom_site_occupancy
Li1 Li 0.0000 0.0000 0.0000 1
As1 As 0.0000 0.0000 0.2375 1
Ir1 Ir 0.0000 0.0000 0.5000 1
```

energy above the most stable polymorph in this dataset: 0.0031 eV/atom
size of the total moment: 0.0 Bohr magnetons per cell
energy of formation from the pure elements: -0.34 eV per atom
total DFT energy (no corrections): -115.225 eV/f.u.

No. 7
DFT (SCAN) results for a crystal of LiAs2Ir relaxed with PBEsol.

```
data_LiAs2Ir
_chemical_formula_sum 'Li4 As8 Ir4'
_cell_length_a 6.176
_cell_length_b 6.176
_cell_length_c 6.176
_cell_angle_alpha 90.00
_cell_angle_beta 90.00
_cell_angle_gamma 90.00
_space_group_name_H-M_alt 'F m -3 m'
_space_group_IT_number 225
_space_group_name_Hall '-F 4 2 3'
loop_
_atom_site_label
_atom_site_type_symbol
_atom_site_fract_x
_atom_site_fract_y
_atom_site_fract_z
_atom_site_occupancy
Li1 Li 0.000 0.000 0.000 1
As1 As 0.250 0.250 0.250 1
Ir1 Ir 0.000 0.000 0.500 1
```

energy above the most stable polymorph in this dataset: 0.0000 eV/atom
size of the total moment: 0.0 Bohr magnetons per cell
energy of formation from the pure elements: -0.34 eV per atom
total DFT energy (no corrections): -115.238 eV/f.u.

No. 8
DFT (SCAN) results for a crystal of LiAs2Ir relaxed with PBEsol.

```
data_LiAs2Ir
_chemical_formula_sum 'Li4 As8 Ir4'
_cell_length_a 6.114
_cell_length_b 6.114
_cell_length_c 9.697
_cell_angle_alpha 90.00
_cell_angle_beta 90.00
_cell_angle_gamma 90.00
_space_group_name_H-M_alt 'I -4 2 d'
_space_group_IT_number 122
_space_group_name_Hall 'I -4 2bw'
loop_
_atom_site_label
_atom_site_type_symbol
_atom_site_fract_x
_atom_site_fract_y
_atom_site_fract_z
_atom_site_occupancy
Li1 Li 0.000 0.000 0.000 1
As1 As 0.208 0.250 0.625 1
Ir1 Ir 0.000 0.000 0.500 1
```

energy above the most stable polymorph in this dataset: 0.1938 eV/atom
size of the total moment: 0.0 Bohr magnetons per cell
energy of formation from the pure elements: -0.15 eV per atom
total DFT energy (no corrections): -114.462 eV/f.u.